Here is a relaxed structure of Ce2ScIn from the Alexandria database. Energies are from PBE.

Output
Space-group type   No. 123
E_form   -0.231 eV/atom
Crystal system   tetragonal
Magnetic moment   0.34 μB/atom

Cell lengths 5.1283, 4.4624, 4.4624 Å; angles 90.00, 90.00, 90.00 degrees
Sites, in units of the cell vectors:
Sc: 0.5000 0.0000 0.0000
Ce: 0.0000 0.0000 0.5000
Ce: 0.0000 0.5000 0.0000
In: 0.5000 0.5000 0.5000

Here is a relaxed structure of Tb3Y4Ho8 from the Alexandria database. Energies are from PBE.

Output
Space-group type   No. 12
E_form   0.399 eV/atom
Crystal system   monoclinic
Magnetic moment   0.00 μB/atom

Cell lengths 6.7333, 9.2279, 9.2279 Å; angles 87.52, 111.34, 111.34 degrees
Sites, in units of the cell vectors:
Ho: 0.5346 0.2697 0.2697
Ho: 0.4654 0.7303 0.7303
Ho: 0.9889 0.7311 0.7311
Ho: 0.0111 0.2689 0.2689
Ho: 0.0000 0.6403 0.3597
Ho: 0.0000 0.3597 0.6403
Ho: 0.5000 0.7457 0.2543
Ho: 0.5000 0.2543 0.7457
Y: 0.0000 0.0000 0.5000
Y: 0.5000 0.0000 0.0000
Y: 0.0000 0.5000 0.0000
Y: 0.0000 0.0000 0.0000
Tb: 0.5000 0.5000 0.0000
Tb: 0.5000 0.0000 0.5000
Tb: 0.5000 0.5000 0.5000

Here is a relaxed structure of KNdTeBr2 from the Alexandria database. Energies are from PBE.

Output
Space-group type   No. 63
Crystal system   orthorhombic
Magnetic moment   0.00 μB/atom
Uncorrected formation energy   -1660 meV per atom

Cell lengths 4.5748, 9.5705, 8.9322 Å; angles 90.00, 90.00, 103.83 degrees
Sites, in units of the cell vectors:
Br: 0.1553 0.3106 0.9983
Br: 0.1553 0.3106 0.5017
Br: 0.8447 0.6894 0.0017
Br: 0.8447 0.6894 0.4983
K: 0.7081 0.4162 0.7500
K: 0.2919 0.5838 0.2500
Nd: 0.0000 0.0000 0.5000
Nd: 0.0000 0.0000 0.0000
Te: 0.4998 0.9996 0.2500
Te: 0.5002 0.0004 0.7500

Here is a relaxed structure of Al2OsPb from the Alexandria database. Energies are from PBE.

Output
Space-group type   No. 122
E_form   0.513 eV/atom
Crystal system   tetragonal
Magnetic moment   0.00 μB/atom

Cell lengths 4.3034, 4.3034, 9.2664 Å; angles 76.57, 76.57, 90.00 degrees
Sites, in units of the cell vectors:
Pb: 0.0000 0.0000 0.0000
Pb: 0.7500 0.2500 0.5000
Os: 0.5000 0.5000 0.0000
Os: 0.2500 0.7500 0.5000
Al: 0.3750 0.4456 0.7500
Al: 0.1956 0.6250 0.2500
Al: 0.5544 0.1250 0.2500
Al: 0.8750 0.8044 0.7500

Here is a relaxed structure of TaRe from the Alexandria database. Energies are from PBE.

Output
Space-group type   No. 225
E_form   0.914 eV/atom
Crystal system   cubic
Magnetic moment   0.00 μB/atom

Cell lengths 3.7486, 3.7486, 3.7486 Å; angles 60.00, 60.00, 60.00 degrees
Sites, in units of the cell vectors:
Ta: 0.5000 0.5000 0.5000
Re: 0.0000 0.0000 0.0000

Here is a relaxed structure of Pr8Ni3Br4Cl from the Alexandria database. Energies are from PBE.

Output
Space-group type   No. 166
Crystal system   trigonal
Magnetic moment   0.00 μB/atom
Uncorrected formation energy   -917 meV per atom

Cell lengths 8.2430, 8.9779, 8.2454 Å; angles 117.35, 119.99, 90.00 degrees
Sites, in units of the cell vectors:
Pr: 0.2419 0.7086 0.4837
Pr: 0.2700 0.3103 0.5400
Pr: 0.2421 0.7089 0.9671
Pr: 0.7579 0.2911 0.0329
Pr: 0.7250 0.7089 0.9671
Pr: 0.7581 0.2914 0.5163
Pr: 0.7300 0.6897 0.4600
Pr: 0.2750 0.2911 0.0329
Br: 0.0000 0.0000 0.0000
Br: 0.5000 0.0000 0.5000
Br: 0.0000 0.0000 0.5000
Br: 0.5000 0.0000 0.0000
Cl: 0.0000 0.5000 0.0000
Ni: 0.0000 0.5000 0.5000
Ni: 0.5000 0.5000 0.5000
Ni: 0.5000 0.5000 0.0000

Here is a relaxed structure of Tm2Si3Au5 from the Alexandria database. Energies are from PBE.

Output
Space-group type   No. 36
Crystal system   orthorhombic
Magnetic moment   0.00 μB/atom
Uncorrected formation energy   -526 meV per atom

Cell lengths 4.3359, 7.0401, 12.3910 Å; angles 90.00, 100.08, 90.00 degrees
Sites, in units of the cell vectors:
Au: 0.6004 0.9221 0.2008
Au: 0.3996 0.4221 0.7992
Au: 0.8774 0.7217 0.7549
Au: 0.1226 0.2217 0.2451
Au: 0.0521 0.5673 0.1043
Au: 0.9479 0.0673 0.8957
Au: 0.7168 0.0070 0.4337
Au: 0.2832 0.5070 0.5663
Au: 0.6969 0.4159 0.3938
Au: 0.3031 0.9159 0.6062
Si: 0.0470 0.9673 0.0941
Si: 0.2293 0.2039 0.4586
Si: 0.7707 0.7039 0.5414
Si: 0.9530 0.4673 0.9059
Si: 0.3945 0.0617 0.7890
Si: 0.6055 0.5617 0.2110
Tm: 0.4805 0.7605 0.9610
Tm: 0.8254 0.2375 0.6508
Tm: 0.5195 0.2605 0.0390
Tm: 0.1746 0.7375 0.3492

Here is a relaxed structure of Mg2ScTa from the Alexandria database. Energies are from PBE.

Output
Space-group type   No. 12
E_form   0.250 eV/atom
Crystal system   monoclinic
Magnetic moment   0.00 μB/atom

Cell lengths 5.9975, 5.9975, 2.8510 Å; angles 79.47, 79.47, 119.83 degrees
Sites, in units of the cell vectors:
Mg: 0.0000 0.0000 0.0000
Mg: 0.5000 0.5000 0.0000
Ta: 0.0000 0.5000 0.5000
Sc: 0.5000 0.0000 0.5000